No. 1
Computed, not measured: NdPaAlZn after structural relaxation at the PBE-GGA level of DFT.

CIF file:
```
data_NdPaAlZn
_symmetry_space_group_name_H-M 'F -4 3 m'
_symmetry_Int_Tables_number 216
_symmetry_space_group_name_Hall 'F -4 2 3'
_cell_length_a 7.2659
_cell_length_b 7.2659
_cell_length_c 7.2659
_cell_angle_alpha 90.00
_cell_angle_beta 90.00
_cell_angle_gamma 90.00
loop_
_atom_site_label
_atom_site_type_symbol
_atom_site_fract_x
_atom_site_fract_y
_atom_site_fract_z
_atom_site_occupancy
Nd1 Nd 0.0000 0.0000 0.0000 1
Pa1 Pa 0.0000 0.0000 0.5000 1
Al1 Al 0.2500 0.2500 0.7500 1
Zn1 Zn 0.2500 0.2500 0.2500 1
```

Values from the calculation:
The calculation puts the total energy at -77.6 eV per cell. Its total magnetization is 3.23 μB per cell. Its density of states at the Fermi level is 5.678 states/eV/f.u.

***

No. 2
Computed, not measured: ThPaIrPd after structural relaxation at the PBE-GGA level of DFT.

CIF file:
```
data_ThPaIrPd
_symmetry_space_group_name_H-M 'F -4 3 m'
_symmetry_Int_Tables_number 216
_symmetry_space_group_name_Hall 'F -4 2 3'
_cell_length_a 7.0823
_cell_length_b 7.0823
_cell_length_c 7.0823
_cell_angle_alpha 90.00
_cell_angle_beta 90.00
_cell_angle_gamma 90.00
loop_
_atom_site_label
_atom_site_type_symbol
_atom_site_fract_x
_atom_site_fract_y
_atom_site_fract_z
_atom_site_occupancy
Th1 Th 0.0000 0.0000 0.0000 1
Pa1 Pa 0.0000 0.0000 0.5000 1
Ir1 Ir 0.2500 0.2500 0.2500 1
Pd1 Pd 0.2500 0.2500 0.7500 1
```

Values from the calculation:
The calculation puts the total energy at -133.1 eV per cell. Its total magnetization is 1.47 μB per cell. Its density of states at the Fermi level is 5.842 states/eV/f.u.

***

No. 3
Computed, not measured: NdPu2Sn2Au2 after structural relaxation at the PBE-GGA level of DFT.

CIF file:
```
data_NdPu2Sn2Au2
_symmetry_space_group_name_H-M 'R -3 m'
_symmetry_Int_Tables_number 166
_symmetry_space_group_name_Hall '-R 3 2"'
_cell_length_a 4.7636
_cell_length_b 4.7636
_cell_length_c 26.7567
_cell_angle_alpha 90.00
_cell_angle_beta 90.00
_cell_angle_gamma 120.00
loop_
_atom_site_label
_atom_site_type_symbol
_atom_site_fract_x
_atom_site_fract_y
_atom_site_fract_z
_atom_site_occupancy
Nd1 Nd 0.0000 0.0000 0.0000 1
Pu1 Pu 0.0000 0.0000 0.1429 1
Sn1 Sn 0.0000 0.0000 0.2658 1
Au1 Au 0.0000 0.0000 0.4316 1
```

Values from the calculation:
The calculation puts the total energy at -154.0 eV per cell. Its total magnetization is 33.34 μB per cell. Its density of states at the Fermi level is 16.025 states/eV/f.u.

***

No. 4
Computed, not measured: ReRuI3 after structural relaxation at the PBE-GGA level of DFT.

CIF file:
```
data_ReRuI3
_symmetry_space_group_name_H-M 'P m -3 m'
_symmetry_Int_Tables_number 221
_symmetry_space_group_name_Hall '-P 4 2 3'
_cell_length_a 5.4008
_cell_length_b 5.4008
_cell_length_c 5.4008
_cell_angle_alpha 90.00
_cell_angle_beta 90.00
_cell_angle_gamma 90.00
loop_
_atom_site_label
_atom_site_type_symbol
_atom_site_fract_x
_atom_site_fract_y
_atom_site_fract_z
_atom_site_occupancy
Re1 Re 0.0000 0.0000 0.0000 1
Ru1 Ru 0.5000 0.5000 0.5000 1
I1 I 0.0000 0.5000 0.5000 1
```

Values from the calculation:
The excess energy over the best structure of this formula in the dataset is 0 meV per atom. For the formation energy from raw total energies, the calculation gives 7.321 eV per formula unit. The calculation puts the total energy at -19.1 eV per cell. Its total magnetization is 4.77 μB per cell. Its density of states at the Fermi level is 4.639 states/eV/f.u.

***

No. 5
Computed, not measured: Ac3SbPN after structural relaxation at the PBE-GGA level of DFT.

CIF file:
```
data_Ac3SbPN
_symmetry_space_group_name_H-M 'P 1 21/m 1'
_symmetry_Int_Tables_number 11
_symmetry_space_group_name_Hall '-P 2yb'
_cell_length_a 9.3014
_cell_length_b 4.5038
_cell_length_c 10.0356
_cell_angle_alpha 90.00
_cell_angle_beta 103.36
_cell_angle_gamma 90.00
loop_
_atom_site_label
_atom_site_type_symbol
_atom_site_fract_x
_atom_site_fract_y
_atom_site_fract_z
_atom_site_occupancy
Ac1 Ac 0.0671 0.2500 0.3408 1
Ac2 Ac 0.3327 0.2500 0.9785 1
Ac3 Ac 0.3978 0.7500 0.6598 1
Sb1 Sb 0.3069 0.7500 0.2708 1
P1 P 0.1587 0.2500 0.6449 1
N1 N 0.4106 0.7500 0.8968 1
```

Values from the calculation:
For the formation energy from raw total energies, the calculation gives -7.364 eV per formula unit. The calculation puts the total energy at -75.1 eV per cell. Its total magnetization is 0.00 μB per cell. Its density of states at the Fermi level is 0.497 states/eV/f.u.

***

No. 6
Computed, not measured: Cs2TbAs2S6 after structural relaxation at the PBE-GGA level of DFT.

CIF file:
```
data_Cs2TbAs2S6
_symmetry_space_group_name_H-M 'C 1 2/m 1'
_symmetry_Int_Tables_number 12
_symmetry_space_group_name_Hall '-C 2y'
_cell_length_a 12.4740
_cell_length_b 7.2144
_cell_length_c 8.6348
_cell_angle_alpha 90.00
_cell_angle_beta 118.52
_cell_angle_gamma 90.00
loop_
_atom_site_label
_atom_site_type_symbol
_atom_site_fract_x
_atom_site_fract_y
_atom_site_fract_z
_atom_site_occupancy
Cs1 Cs 0.2100 0.0000 0.1889 1
Tb1 Tb 0.0000 0.0000 0.5000 1
As1 As 0.0547 0.5000 0.1949 1
S1 S 0.0348 0.2479 0.7672 1
S2 S 0.2443 0.0000 0.6175 1
```

Values from the calculation:
For the formation energy from raw total energies, the calculation gives -9.216 eV per formula unit. The calculation puts the total energy at -99.2 eV per cell. Its total magnetization is 0.00 μB per cell. Its density of states at the Fermi level is 3.785 states/eV/f.u.

***

No. 7
Computed, not measured: Tb2Dy3Ho6Tl after structural relaxation at the PBE-GGA level of DFT.

CIF file:
```
data_Tb2Dy3Ho6Tl
_symmetry_space_group_name_H-M 'C 1 2/m 1'
_symmetry_Int_Tables_number 12
_symmetry_space_group_name_Hall '-C 2y'
_cell_length_a 6.0680
_cell_length_b 10.5199
_cell_length_c 11.6203
_cell_angle_alpha 90.00
_cell_angle_beta 100.10
_cell_angle_gamma 90.00
loop_
_atom_site_label
_atom_site_type_symbol
_atom_site_fract_x
_atom_site_fract_y
_atom_site_fract_z
_atom_site_occupancy
Tb1 Tb 0.0000 0.1661 0.0000 1
Dy1 Dy 0.0000 0.0000 0.5000 1
Dy2 Dy 0.0000 0.3333 0.5000 1
Ho1 Ho 0.2467 0.3354 0.2479 1
Ho2 Ho 0.2471 0.5000 0.7506 1
Tl1 Tl 0.0000 0.5000 0.0000 1
```

Values from the calculation:
The calculation puts the total energy at -106.2 eV per cell. Its total magnetization is 0.01 μB per cell. Its density of states at the Fermi level is 16.003 states/eV/f.u.

***

No. 8
Computed, not measured: Ce3Co2P4Pd2 after structural relaxation at the PBE-GGA level of DFT.

CIF file:
```
data_Ce3Co2P4Pd2
_symmetry_space_group_name_H-M 'P -3 m 1'
_symmetry_Int_Tables_number 164
_symmetry_space_group_name_Hall '-P 3 2"'
_cell_length_a 3.9872
_cell_length_b 3.9872
_cell_length_c 14.2145
_cell_angle_alpha 90.00
_cell_angle_beta 90.00
_cell_angle_gamma 120.00
loop_
_atom_site_label
_atom_site_type_symbol
_atom_site_fract_x
_atom_site_fract_y
_atom_site_fract_z
_atom_site_occupancy
Ce1 Ce 0.0000 0.0000 0.0000 1
Ce2 Ce 0.0000 0.0000 0.2654 1
Co1 Co 0.3333 0.6667 0.1424 1
P1 P 0.3333 0.6667 0.3874 1
P2 P 0.3333 0.6667 0.8696 1
Pd1 Pd 0.3333 0.6667 0.5610 1
```

Values from the calculation:
The calculation puts the total energy at -75.3 eV per cell. Its total magnetization is 0.00 μB per cell. Its density of states at the Fermi level is 7.469 states/eV/f.u.